The following is a DFT calculation (GGA-PBE) of a geometry-optimized SrLaMgCd structure.

```
SrLaMgCd
1.0
4.046 0.000 0.000
0.000 4.046 0.000
0.000 0.000 8.016
Sr La Mg Cd
1 1 1 1
Direct
0.000 0.000 0.000 Sr
0.000 0.000 0.512 La
0.500 0.500 0.275 Mg
0.500 0.500 0.737 Cd
```

Formation energy from the elements: -203 meV/atom

The following is a DFT calculation (GGA-PBE) of a geometry-optimized NaPrMgTl structure.

```
NaPrMgTl
1.0
0.000 3.779 3.779
3.779 0.000 3.779
3.779 3.779 0.000
Na Pr Mg Tl
1 1 1 1
Direct
0.000 0.000 0.000 Na
0.250 0.250 0.250 Pr
0.750 0.750 0.750 Mg
0.500 0.500 0.500 Tl
```

Formation energy from the elements: -118 meV/atom

The following is a DFT calculation (GGA-PBE) of a geometry-optimized PaMn2Ga structure.

```
PaMn2Ga
1.0
3.141 0.000 0.000
0.000 3.141 0.000
0.000 0.000 6.660
Pa Mn Ga
1 2 1
Direct
0.000 0.000 0.000 Pa
0.500 0.500 0.301 Mn
0.500 0.500 0.699 Mn
0.000 0.000 0.500 Ga
```

Formation energy from the elements: 58 meV/atom

The following is a DFT calculation (GGA-PBE) of a geometry-optimized Ce2ThGa4 structure.

```
Ce2ThGa4
1.0
-2.090 2.141 9.433
2.090 -2.141 9.433
2.090 2.141 -9.433
Ce Th Ga
2 1 4
Direct
0.188 0.188 0.000 Ce
0.812 0.812 0.000 Ce
0.000 0.500 0.500 Th
0.358 0.358 0.000 Ga
0.434 0.934 0.500 Ga
0.566 0.066 0.500 Ga
0.642 0.642 0.000 Ga
```

Formation energy from the elements: -542 meV/atom

The following is a DFT calculation (GGA-PBE) of a geometry-optimized YTmInIr structure.

```
YTmInIr
1.0
0.000 3.568 3.568
3.568 0.000 3.568
3.568 3.568 0.000
Y Tm In Ir
1 1 1 1
Direct
0.000 0.000 0.000 Y
0.500 0.500 0.500 Tm
0.250 0.250 0.250 In
0.750 0.750 0.750 Ir
```

Formation energy from the elements: -577 meV/atom

The following is a DFT calculation (GGA-PBE) of a geometry-optimized PrCdBi2 structure.

```
PrCdBi2
1.0
5.131 0.000 0.000
0.000 5.131 0.000
0.000 0.000 4.459
Pr Cd Bi
1 1 2
Direct
0.000 0.000 0.000 Pr
0.500 0.500 0.000 Cd
0.000 0.500 0.500 Bi
0.500 0.000 0.500 Bi
```

Formation energy from the elements: -462 meV/atom

In the order shown, the computed Fermi-level density of states values come out to 3.85, 2.88, 6.50, 11.21, 2.16, 2.57 states/eV/cell.